No. 1
## KMgIr2 (PBE)

Data for a geometry-optimized KMgIr2 structure.

Output
Density of states at the Fermi level: 4.19 states/eV/f.u.
Energy relative to the elements: 0.382 eV per atom
Space-group type: No. 10

Lattice parameters (Å, degrees): 4.545 2.772 6.888 80.69 90.00 90.00
Sites, in units of the cell vectors:
Ir 0.000 0.550 0.588
Ir 0.000 0.950 0.912
Mg 0.500 0.750 0.750
K 0.500 0.250 0.250

No. 2
## K2MgIr (PBE)

Data for a geometry-optimized K2MgIr structure.

Output
Density of states at the Fermi level: 2.58 states/eV/f.u.
Energy relative to the elements: 0.767 eV per atom
Space-group type: No. 122

Lattice parameters (Å, degrees): 4.205 4.205 12.005 79.91 79.91 90.00
Sites, in units of the cell vectors:
Ir 0.750 0.250 0.500
Ir 0.000 0.000 0.000
K 0.633 0.125 0.250
K 0.375 0.367 0.750
K 0.875 0.883 0.750
K 0.117 0.625 0.250
Mg 0.250 0.750 0.500
Mg 0.500 0.500 0.000

No. 3
## K2MgIr (PBE)

Data for a geometry-optimized K2MgIr structure.

Output
Density of states at the Fermi level: 2.25 states/eV/f.u.
Energy relative to the elements: 0.709 eV per atom
Space-group type: No. 12

Lattice parameters (Å, degrees): 4.991 6.471 3.394 76.58 85.51 111.41
Sites, in units of the cell vectors:
K 0.500 0.000 0.500
K 0.000 0.000 0.000
Mg 0.000 0.500 0.500
Ir 0.500 0.500 0.000

Which value of density of states at the Fermi level does entry 1 give?
4.19 states/eV/f.u.

energy relative to the elements of number 1 (KMgIr2)?
0.382 eV per atom

Which of these has the lowest density of states at the Fermi level?
number 3